Entry 1:
ZnCu4Sb: relaxed, PBE.

Unit cell a=4.991 b=4.991 c=4.991 alpha=60.00 beta=60.00 gamma=60.00
Element x y z (fractional)
Cu: 0.626 0.626 0.626
Cu: 0.626 0.626 0.123
Cu: 0.626 0.123 0.626
Cu: 0.123 0.626 0.626
Sb: 0.250 0.250 0.250
Zn: 0.000 0.000 0.000

Output
- crystal system = cubic

***

Entry 2:
PrDyZnPt: relaxed, PBE.

Unit cell a=3.928 b=4.449 c=5.871 alpha=90.00 beta=109.55 gamma=90.00
Element x y z (fractional)
Zn: 0.571 0.500 0.143
Dy: 0.862 0.500 0.724
Pr: 0.144 0.000 0.287
Pt: 0.423 0.000 0.847

Output
- crystal system = orthorhombic
- energy above the lowest structure with this stoichiometry (meV/atom) = 0
- ΔE_f (eV per atom) = -0.7496

***

Entry 3:
RbHf2Te: relaxed, PBE.

Unit cell a=5.242 b=5.242 c=11.225 alpha=76.50 beta=76.50 gamma=90.00
Element x y z (fractional)
Te: 0.750 0.250 0.500
Te: 0.000 0.000 0.000
Hf: 0.375 0.177 0.750
Hf: 0.823 0.125 0.250
Hf: 0.927 0.625 0.250
Hf: 0.875 0.073 0.750
Rb: 0.500 0.500 0.000
Rb: 0.250 0.750 0.500

Output
- crystal system = tetragonal

***

Entry 4:
La4Pr3Ag: relaxed, PBE.

Unit cell a=3.765 b=3.765 c=19.506 alpha=90.00 beta=90.00 gamma=90.00
Element x y z (fractional)
La: 0.000 0.000 0.900
La: 0.000 0.000 0.634
La: 0.000 0.000 0.100
La: 0.000 0.000 0.366
Pr: 0.500 0.500 0.234
Pr: 0.500 0.500 0.766
Pr: 0.500 0.500 0.500
Ag: 0.500 0.500 0.000

Output
- crystal system = tetragonal
- ΔE_f (eV per atom) = -0.0486

***

DFT total energy values, unit eV for the cell shown, following the record order: -21.40 -19.69 -43.01 -37.29.